Record 1
A geometry-optimized KV2BAu structure. Source: the Alexandria database, functional PBE-GGA.

Calculated values
The value obtained for the total magnetization is 0.7 μB/f.u. The final energy comes out at -2.709 eV/atom. The formation energy from the elements comes out at 3.1489 eV per atom.

a b c (Å): 4.2982 4.2982 5.1450
angles (deg): 90.00 90.00 90.00
Element x y z (fractional)
K: 0.0000 0.0000 0.0000
V: 0.0000 0.5000 0.0000
V: 0.5000 0.0000 0.0000
B: 0.5000 0.5000 0.5000
Au: 0.0000 0.0000 0.5000

Record 2
A geometry-optimized La4In2GaHg structure. Source: the Alexandria database, functional PBE-GGA.

Calculated values
The value obtained for the total magnetization is 0.0 μB/f.u. The final energy comes out at -4.070 eV/atom. The formation energy from the elements comes out at -0.5053 eV per atom.

a b c (Å): 9.5701 9.5701 9.5701
angles (deg): 33.60 33.60 33.60
Element x y z (fractional)
La: 0.1214 0.1214 0.1214
La: 0.3718 0.3718 0.3718
La: 0.6282 0.6282 0.6282
La: 0.8786 0.8786 0.8786
In: 0.2469 0.2469 0.2469
In: 0.7531 0.7531 0.7531
Ga: 0.0000 0.0000 0.0000
Hg: 0.5000 0.5000 0.5000

Record 3
A geometry-optimized CdAsPdAu2 structure. Source: the Alexandria database, functional PBE-GGA.

Calculated values
The value obtained for the total magnetization is 0.0 μB/f.u. The final energy comes out at -2.942 eV/atom. The formation energy from the elements comes out at 0.5204 eV per atom.

a b c (Å): 4.8659 4.8659 5.1128
angles (deg): 90.00 90.00 90.00
Element x y z (fractional)
Cd: 0.0000 0.0000 0.0000
As: 0.0000 0.0000 0.5000
Pd: 0.5000 0.5000 0.0000
Au: 0.0000 0.5000 0.5000
Au: 0.5000 0.0000 0.5000

Record 4
A geometry-optimized Ni2MoHW structure. Source: the Alexandria database, functional PBE-GGA.

Calculated values
The value obtained for the total magnetization is 0.0 μB/f.u. The value obtained for the offset from the most stable computed form is 0 meV/atom. The final energy comes out at -7.689 eV/atom.

a b c (Å): 3.7145 3.7145 4.0288
angles (deg): 90.00 90.00 90.00
Element x y z (fractional)
Ni: 0.0000 0.5000 0.0000
Ni: 0.5000 0.0000 0.0000
Mo: 0.0000 0.0000 0.5000
H: 0.0000 0.0000 0.0000
W: 0.5000 0.5000 0.5000

Record 5
A geometry-optimized CrBiP2S structure. Source: the Alexandria database, functional PBE-GGA.

Calculated values
The value obtained for the total magnetization is 1.9 μB/f.u. The value obtained for the offset from the most stable computed form is 0 meV/atom. The final energy comes out at -5.377 eV/atom. For the formation energy (no corrections), the calculation gives 30.3 kJ/mol of atoms.

a b c (Å): 4.6234 4.6234 4.5718
angles (deg): 90.00 90.00 90.00
Element x y z (fractional)
Cr: 0.0000 0.0000 0.0000
Bi: 0.5000 0.5000 0.5000
P: 0.0000 0.5000 0.0000
P: 0.5000 0.0000 0.0000
S: 0.0000 0.0000 0.5000

Record 6
A geometry-optimized ZrAuSe2 structure. Source: the Alexandria database, functional PBE-GGA.

Calculated values
The value obtained for the total magnetization is 0.0 μB/f.u. The value obtained for the offset from the most stable computed form is 85 meV/atom. The final energy comes out at -5.424 eV/atom. For the formation energy (no corrections), the calculation gives -70.0 kJ/mol of atoms.

a b c (Å): 7.2336 7.2336 7.2336
angles (deg): 150.89 148.73 43.25
Element x y z (fractional)
Zr: 0.0000 0.0000 0.0000
Au: 0.3414 0.8414 0.5000
Se: 0.5766 0.5766 0.0000
Se: 0.8396 0.3396 0.5000

Record 7
A geometry-optimized Lu3CoBi structure. Source: the Alexandria database, functional PBE-GGA.

Calculated values
The value obtained for the total magnetization is 0.0 μB/f.u. The final energy comes out at -5.261 eV/atom. The formation energy from the elements comes out at -0.3515 eV per atom.

a b c (Å): 5.0723 5.0723 5.0723
angles (deg): 90.00 90.00 90.00
Element x y z (fractional)
Lu: 0.0000 0.0000 0.5000
Lu: 0.0000 0.5000 0.0000
Lu: 0.5000 0.0000 0.0000
Co: 0.0000 0.0000 0.0000
Bi: 0.5000 0.5000 0.5000

Record 8
A geometry-optimized Nb2SiSF structure. Source: the Alexandria database, functional PBE-GGA.

Calculated values
The value obtained for the total magnetization is 0.0 μB/f.u. The final energy comes out at -6.259 eV/atom. For the formation energy (no corrections), the calculation gives 5.1 kJ/mol of atoms.

a b c (Å): 4.6531 4.6531 4.0038
angles (deg): 90.00 90.00 90.00
Element x y z (fractional)
Nb: 0.0000 0.5000 0.0000
Nb: 0.5000 0.0000 0.0000
Si: 0.0000 0.0000 0.5000
S: 0.5000 0.5000 0.0000
F: 0.5000 0.5000 0.5000

Record 9
A geometry-optimized CsRb2InF structure. Source: the Alexandria database, functional PBE-GGA.

Calculated values
The value obtained for the total magnetization is 0.0 μB/f.u. The final energy comes out at -2.455 eV/atom. For the formation energy (no corrections), the calculation gives -94.1 kJ/mol of atoms.

a b c (Å): 5.8508 5.8508 6.1201
angles (deg): 90.00 90.00 90.00
Element x y z (fractional)
Cs: 0.0000 0.0000 0.0000
Rb: 0.0000 0.5000 0.5000
Rb: 0.5000 0.0000 0.5000
In: 0.5000 0.5000 0.0000
F: 0.0000 0.0000 0.5000

Record 10
A geometry-optimized CdGa3 structure. Source: the Alexandria database, functional PBE-GGA.

Calculated values
The value obtained for the total magnetization is 0.0 μB/f.u. The final energy comes out at -2.455 eV/atom. The formation energy from the elements comes out at 0.0441 eV per atom.

a b c (Å): 6.1563 6.1563 6.1563
angles (deg): 152.50 57.33 130.76
Element x y z (fractional)
Cd: 0.0000 0.0000 0.0000
Ga: 0.2670 0.5020 0.7650
Ga: 0.4999 0.9999 0.5000
Ga: 0.7370 0.5020 0.2350

Record 11
A geometry-optimized RbIn10Hg2 structure. Source: the Alexandria database, functional PBE-GGA.

Calculated values
The value obtained for the total magnetization is 0.0 μB/f.u. The final energy comes out at -2.247 eV/atom. The formation energy from the elements comes out at -0.0192 eV per atom.

a b c (Å): 10.9290 8.3884 8.3079
angles (deg): 81.77 49.43 48.79
Element x y z (fractional)
Rb: 0.0000 0.0000 0.0000
In: 0.0000 0.0000 0.5000
In: 0.0005 0.3581 0.6419
In: 0.9995 0.6419 0.3581
In: 0.2849 0.4968 0.5032
In: 0.3581 0.0005 0.9995
In: 0.4968 0.2849 0.7151
In: 0.5000 0.5000 0.0000
In: 0.5032 0.7151 0.2849
In: 0.6419 0.9995 0.0005
In: 0.7151 0.5032 0.4968
Hg: 0.0000 0.5000 0.0000
Hg: 0.5000 0.0000 0.5000

Record 12
A geometry-optimized K2IN structure. Source: the Alexandria database, functional PBE-GGA.

Calculated values
The value obtained for the total magnetization is 2.0 μB/f.u. The value obtained for the offset from the most stable computed form is 0 meV/atom. The final energy comes out at -2.863 eV/atom. For the formation energy (no corrections), the calculation gives 14.9 kJ/mol of atoms.

a b c (Å): 5.6897 5.6897 5.6897
angles (deg): 60.00 60.00 60.00
Element x y z (fractional)
K: 0.2500 0.2500 0.2500
K: 0.7500 0.7500 0.7500
I: 0.0000 0.0000 0.0000
N: 0.5000 0.5000 0.5000

Record 13
A geometry-optimized Nd4Sm7Dy structure. Source: the Alexandria database, functional PBE-GGA.

Calculated values
The value obtained for the total magnetization is 0.5 μB/f.u. The value obtained for the offset from the most stable computed form is 203 meV/atom. The final energy comes out at -4.509 eV/atom. The formation energy from the elements comes out at 0.2170 eV per atom.

a b c (Å): 8.7484 8.7484 9.3725
angles (deg): 114.48 114.48 40.42
Element x y z (fractional)
Nd: 0.0752 0.0752 0.2013
Nd: 0.1742 0.1742 0.8873
Nd: 0.8258 0.8258 0.1127
Nd: 0.9248 0.9248 0.7987
Sm: 0.0000 0.0000 0.5000
Sm: 0.2898 0.2898 0.6241
Sm: 0.2925 0.2925 0.2758
Sm: 0.4197 0.4197 0.0647
Sm: 0.5803 0.5803 0.9353
Sm: 0.7075 0.7075 0.7242
Sm: 0.7102 0.7102 0.3759
Dy: 0.5000 0.5000 0.5000

Record 14
A geometry-optimized As3SeN structure. Source: the Alexandria database, functional PBE-GGA.

Calculated values
The value obtained for the total magnetization is 0.0 μB/f.u. The value obtained for the offset from the most stable computed form is 0 meV/atom. The final energy comes out at -4.308 eV/atom. For the formation energy (no corrections), the calculation gives 81.4 kJ/mol of atoms.

a b c (Å): 4.4291 4.4291 4.4291
angles (deg): 90.00 90.00 90.00
Element x y z (fractional)
As: 0.0000 0.0000 0.5000
As: 0.0000 0.5000 0.0000
As: 0.5000 0.0000 0.0000
Se: 0.5000 0.5000 0.5000
N: 0.0000 0.0000 0.0000

Record 15
A geometry-optimized Sm3HoSn12 structure. Source: the Alexandria database, functional PBE-GGA.

Calculated values
The value obtained for the total magnetization is 0.0 μB/f.u. The final energy comes out at -4.636 eV/atom. The formation energy from the elements comes out at -0.4630 eV per atom.

a b c (Å): 4.7584 4.7584 18.7846
angles (deg): 90.00 90.00 90.00
Element x y z (fractional)
Sm: 0.0000 0.0000 0.0000
Sm: 0.0000 0.0000 0.2512
Sm: 0.0000 0.0000 0.7488
Ho: 0.0000 0.0000 0.5000
Sn: 0.0000 0.5000 0.1258
Sn: 0.0000 0.5000 0.3777
Sn: 0.0000 0.5000 0.6223
Sn: 0.0000 0.5000 0.8742
Sn: 0.5000 0.0000 0.1258
Sn: 0.5000 0.0000 0.3777
Sn: 0.5000 0.0000 0.6223
Sn: 0.5000 0.0000 0.8742
Sn: 0.5000 0.5000 0.0000
Sn: 0.5000 0.5000 0.2518
Sn: 0.5000 0.5000 0.5000
Sn: 0.5000 0.5000 0.7482

Record 16
A geometry-optimized HfTi3Ga2 structure. Source: the Alexandria database, functional PBE-GGA.

Calculated values
The value obtained for the total magnetization is 0.0 μB/f.u. The value obtained for the offset from the most stable computed form is 0 meV/atom. The final energy comes out at -6.947 eV/atom. The formation energy from the elements comes out at -0.3320 eV per atom.

a b c (Å): 3.4757 8.4314 7.2120
angles (deg): 90.00 90.00 90.00
Element x y z (fractional)
Hf: 0.0000 0.0888 0.0000
Hf: 0.0000 0.9112 0.5000
Ti: 0.0000 0.3364 0.5667
Ti: 0.0000 0.6636 0.0667
Ti: 0.5000 0.1679 0.3323
Ti: 0.5000 0.4154 0.9012
Ti: 0.5000 0.5846 0.4012
Ti: 0.5000 0.8321 0.8323
Ga: 0.0000 0.3823 0.1993
Ga: 0.0000 0.6177 0.6993
Ga: 0.5000 0.1256 0.6996
Ga: 0.5000 0.8744 0.1996

Record 17
A geometry-optimized Hf5ScSi4 structure. Source: the Alexandria database, functional PBE-GGA.

Calculated values
The value obtained for the total magnetization is 0.0 μB/f.u. The final energy comes out at -8.557 eV/atom. For the formation energy (no corrections), the calculation gives -75.1 kJ/mol of atoms.

a b c (Å): 7.0320 7.0320 3.6860
angles (deg): 90.00 90.00 90.00
Element x y z (fractional)
Hf: 0.0000 0.0000 0.0000
Hf: 0.1692 0.3241 0.5000
Hf: 0.3241 0.8308 0.5000
Hf: 0.6759 0.1692 0.5000
Hf: 0.8308 0.6759 0.5000
Sc: 0.5000 0.5000 0.0000
Si: 0.1244 0.6234 0.0000
Si: 0.3766 0.1244 0.0000
Si: 0.6234 0.8756 0.0000
Si: 0.8756 0.3766 0.0000

Record 18
A geometry-optimized KRbNaLi structure. Source: the Alexandria database, functional PBE-GGA.

Calculated values
The value obtained for the total magnetization is 0.0 μB/f.u. The final energy comes out at -1.195 eV/atom. The formation energy from the elements comes out at 0.1290 eV per atom.

a b c (Å): 6.6094 6.6094 6.6094
angles (deg): 60.00 60.00 60.00
Element x y z (fractional)
K: 0.0000 0.0000 0.0000
Rb: 0.2500 0.2500 0.2500
Na: 0.5000 0.5000 0.5000
Li: 0.7500 0.7500 0.7500

Record 19
A geometry-optimized Re2AuBr structure. Source: the Alexandria database, functional PBE-GGA.

Calculated values
The value obtained for the total magnetization is 0.0 μB/f.u. The value obtained for the offset from the most stable computed form is 335 meV/atom. The final energy comes out at -6.450 eV/atom. For the formation energy (no corrections), the calculation gives 97.6 kJ/mol of atoms.

a b c (Å): 3.6148 4.6615 5.4812
angles (deg): 90.00 98.61 90.00
Element x y z (fractional)
Re: 0.1971 0.0000 0.3572
Re: 0.8029 0.0000 0.6428
Au: 0.5000 0.5000 0.5000
Br: 0.0000 0.5000 0.0000

Record 20
A geometry-optimized Pu5AgGe2 structure. Source: the Alexandria database, functional PBE-GGA.

Calculated values
The value obtained for the total magnetization is 5.2 μB/f.u. The final energy comes out at -10.586 eV/atom. The formation energy from the elements comes out at -0.1181 eV per atom.

a b c (Å): 8.4020 8.4020 8.4020
angles (deg): 34.13 34.13 34.13
Element x y z (fractional)
Pu: 0.0000 0.0000 0.0000
Pu: 0.1058 0.1058 0.1058
Pu: 0.2500 0.2500 0.2500
Pu: 0.7500 0.7500 0.7500
Pu: 0.8942 0.8942 0.8942
Ag: 0.5000 0.5000 0.5000
Ge: 0.3843 0.3843 0.3843
Ge: 0.6157 0.6157 0.6157